Record 1
CsCd2InPd PBE relaxed; formation enthalpy at 0 K = -0.191 eV/atom
1.0
5.446 0.000 0.000
0.000 5.446 0.000
0.000 0.000 5.267
Cs Cd In Pd
1 2 1 1
Cartesian
0.000 0.000 0.000 Cs
0.000 2.723 2.633 Cd
2.723 0.000 2.633 Cd
2.723 2.723 0.000 In
2.723 2.723 2.633 Pd

---

Record 2
Li7Te6 PBE relaxed; raw formation energy = -11.31 kcal/mol of atoms
1.0
3.132 1.808 9.361
-3.132 1.808 9.361
0.000 -3.616 9.361
Li Te
7 6
Cartesian
0.000 0.000 0.000 Li
0.000 -1.634 6.682 Li
-1.415 0.817 6.682 Li
-1.415 -0.817 21.401 Li
1.415 0.817 6.682 Li
1.415 -0.817 21.401 Li
0.000 1.634 21.401 Li
0.000 0.000 4.502 Te
0.000 0.000 9.015 Te
0.000 0.000 12.586 Te
0.000 0.000 15.497 Te
0.000 0.000 19.068 Te
0.000 0.000 23.581 Te

---

Record 3
K2OsAu PBE relaxed; formation enthalpy at 0 K = 0.692 eV/atom
1.0
2.809 0.000 0.000
0.000 4.488 0.000
0.000 0.000 9.881
K Os Au
2 1 1
Cartesian
0.000 0.000 0.000 K
1.405 2.244 4.247 K
0.000 0.000 6.785 Os
1.405 2.244 7.364 Au

---

Record 4
Pm3Pr2Y3 PBE relaxed; formation enthalpy at 0 K = 0.017 eV/atom
1.0
-2.574 2.577 10.258
2.574 -2.577 10.258
2.574 2.577 -10.258
Pm Pr Y
3 2 3
Cartesian
0.000 0.000 0.000 Pm
2.574 0.000 7.731 Pm
0.000 2.577 2.526 Pm
0.000 0.000 5.128 Pr
0.000 0.000 15.387 Pr
2.574 0.000 2.539 Y
0.000 0.000 10.258 Y
0.000 2.577 7.719 Y

---

Record 5
TlCuW2 PBE relaxed; formation enthalpy at 0 K = 0.879 eV/atom
1.0
1.451 0.838 9.330
-1.451 0.838 9.330
0.000 -1.676 9.330
Tl Cu W
1 1 2
Cartesian
0.000 0.000 0.000 Tl
0.000 0.000 13.996 Cu
0.000 0.000 6.803 W
0.000 0.000 21.188 W

---

Record 6
Ce2Pm3Sn3 PBE relaxed; formation enthalpy at 0 K = -0.634 eV/atom
1.0
9.369 0.000 0.000
-4.684 8.113 0.000
0.000 0.000 6.452
Ce Pm Sn
4 6 6
Cartesian
0.000 5.409 0.000 Ce
0.000 5.409 3.226 Ce
4.684 2.704 0.000 Ce
4.684 2.704 3.226 Ce
-1.176 2.037 1.613 Pm
-3.508 6.076 4.839 Pm
2.352 0.000 1.613 Pm
1.176 2.037 4.839 Pm
7.017 0.000 4.839 Pm
3.508 6.076 1.613 Pm
-1.814 3.142 4.839 Sn
-2.870 4.971 1.613 Sn
3.628 0.000 4.839 Sn
1.814 3.142 1.613 Sn
5.740 0.000 1.613 Sn
2.870 4.971 4.839 Sn

---

Number 1: density of states at the Fermi level 0.350 states/eV per atom. Number 2: density of states at the Fermi level 0.371 states/eV per atom. Number 3: density of states at the Fermi level 0.909 states/eV per atom. Number 4: density of states at the Fermi level 1.589 states/eV per atom. Number 5: density of states at the Fermi level 0.865 states/eV per atom. Number 6: density of states at the Fermi level 1.872 states/eV per atom.